VASP calculation (PBE-GGA) on a relaxed NiSnPS2 crystal. Values from VASP.

Geometry as Quantum ESPRESSO input:
```
&SYSTEM
  ibrav = 0, nat = 5, ntyp = 4
/
ATOMIC_SPECIES
Ni 58.69 Ni.upf
Sn 118.71 Sn.upf
P 30.97 P.upf
S 32.06 S.upf
CELL_PARAMETERS angstrom
4.844 0.000 0.000
0.000 4.844 0.000
0.000 0.000 4.129
ATOMIC_POSITIONS crystal
Ni 0.000 0.000 0.000
Sn 0.500 0.500 0.500
P 0.000 0.000 0.500
S 0.000 0.500 0.000
S 0.500 0.000 0.000
```

Values from the calculation:
**ΔE_f (raw)**: 1.049 eV per formula unit
**Spin magnetization**: 0.0 μB/f.u.
**E**: -0.329 Ry per atom
**Excess energy over the best structure of this formula in the dataset**: 0 meV/atom
**DOS(E_F)**: 1.87 states/eV/cell

VASP calculation (PBE-GGA) on a relaxed NiSnPS2 crystal. Values from VASP.

Geometry as Quantum ESPRESSO input:
```
&SYSTEM
  ibrav = 0, nat = 5, ntyp = 4
/
ATOMIC_SPECIES
Ni 58.69 Ni.upf
Sn 118.71 Sn.upf
P 30.97 P.upf
S 32.06 S.upf
CELL_PARAMETERS angstrom
4.985 0.000 0.000
0.000 4.985 0.000
0.000 0.000 5.007
ATOMIC_POSITIONS crystal
Ni 0.000 0.000 0.000
Sn 0.500 0.500 0.500
P 0.500 0.500 0.000
S 0.000 0.500 0.500
S 0.500 0.000 0.500
```

Values from the calculation:
**ΔE_f (raw)**: 5.766 eV per formula unit
**Spin magnetization**: 2.3 μB/f.u.
**E**: -0.260 Ry per atom
**Excess energy over the best structure of this formula in the dataset**: 943 meV/atom
**DOS(E_F)**: 7.80 states/eV/cell

VASP calculation (PBE-GGA) on a relaxed SrNiP2S crystal. Values from VASP.

Geometry as Quantum ESPRESSO input:
```
&SYSTEM
  ibrav = 0, nat = 5, ntyp = 4
/
ATOMIC_SPECIES
Sr 87.62 Sr.upf
Ni 58.69 Ni.upf
P 30.97 P.upf
S 32.06 S.upf
CELL_PARAMETERS angstrom
5.473 0.000 0.000
0.000 5.473 0.000
0.000 0.000 5.383
ATOMIC_POSITIONS crystal
Sr 0.000 0.000 0.000
Ni 0.500 0.500 0.500
P 0.000 0.500 0.000
P 0.500 0.000 0.000
S 0.000 0.000 0.500
```

Values from the calculation:
**ΔE_f (raw)**: 7.675 eV per formula unit
**Spin magnetization**: 2.0 μB/f.u.
**E**: -0.217 Ry per atom
**Excess energy over the best structure of this formula in the dataset**: 1858 meV/atom
**DOS(E_F)**: 12.59 states/eV/cell

VASP calculation (PBE-GGA) on a relaxed Sr2NiPS crystal. Values from VASP.

Geometry as Quantum ESPRESSO input:
```
&SYSTEM
  ibrav = 0, nat = 5, ntyp = 4
/
ATOMIC_SPECIES
Sr 87.62 Sr.upf
Ni 58.69 Ni.upf
P 30.97 P.upf
S 32.06 S.upf
CELL_PARAMETERS angstrom
5.753 0.000 0.000
0.000 5.753 0.000
0.000 0.000 4.098
ATOMIC_POSITIONS crystal
Sr 0.000 0.500 0.000
Sr 0.500 0.000 0.000
Ni 0.000 0.000 0.500
P 0.000 0.000 0.000
S 0.500 0.500 0.500
```

Values from the calculation:
**ΔE_f (raw)**: -4.599 eV per formula unit
**Spin magnetization**: 0.0 μB/f.u.
**E**: -0.342 Ry per atom
**DOS(E_F)**: 2.29 states/eV/cell

VASP calculation (PBE-GGA) on a relaxed SrNiPS2 crystal. Values from VASP.

Geometry as Quantum ESPRESSO input:
```
&SYSTEM
  ibrav = 0, nat = 5, ntyp = 4
/
ATOMIC_SPECIES
Sr 87.62 Sr.upf
Ni 58.69 Ni.upf
P 30.97 P.upf
S 32.06 S.upf
CELL_PARAMETERS angstrom
5.529 0.000 0.000
0.000 5.529 0.000
0.000 0.000 5.672
ATOMIC_POSITIONS crystal
Sr 0.000 0.000 0.000
Ni 0.500 0.500 0.500
P 0.000 0.000 0.500
S 0.000 0.500 0.000
S 0.500 0.000 0.000
```

Values from the calculation:
**ΔE_f (raw)**: 5.996 eV per formula unit
**Spin magnetization**: 4.1 μB/f.u.
**E**: -0.222 Ry per atom
**Excess energy over the best structure of this formula in the dataset**: 1764 meV/atom
**DOS(E_F)**: 15.15 states/eV/cell

VASP calculation (PBE-GGA) on a relaxed SrNiP2S crystal. Values from VASP.

Geometry as Quantum ESPRESSO input:
```
&SYSTEM
  ibrav = 0, nat = 5, ntyp = 4
/
ATOMIC_SPECIES
Sr 87.62 Sr.upf
Ni 58.69 Ni.upf
P 30.97 P.upf
S 32.06 S.upf
CELL_PARAMETERS angstrom
4.383 0.000 0.000
0.000 4.383 0.000
0.000 0.000 5.219
ATOMIC_POSITIONS crystal
Sr 0.000 0.000 0.000
Ni 0.500 0.500 0.500
P 0.000 0.500 0.500
P 0.500 0.000 0.500
S 0.500 0.500 0.000
```

Values from the calculation:
**ΔE_f (raw)**: -1.617 eV per formula unit
**Spin magnetization**: 0.8 μB/f.u.
**E**: -0.353 Ry per atom
**Excess energy over the best structure of this formula in the dataset**: 0 meV/atom
**DOS(E_F)**: 4.56 states/eV/cell

VASP calculation (PBE-GGA) on a relaxed SrNiPS2 crystal. Values from VASP.

Geometry as Quantum ESPRESSO input:
```
&SYSTEM
  ibrav = 0, nat = 5, ntyp = 4
/
ATOMIC_SPECIES
Sr 87.62 Sr.upf
Ni 58.69 Ni.upf
P 30.97 P.upf
S 32.06 S.upf
CELL_PARAMETERS angstrom
4.909 0.000 0.000
0.000 4.909 0.000
0.000 0.000 4.165
ATOMIC_POSITIONS crystal
Sr 0.000 0.000 0.000
Ni 0.500 0.500 0.500
P 0.500 0.500 0.000
S 0.000 0.500 0.500
S 0.500 0.000 0.500
```

Values from the calculation:
**ΔE_f (raw)**: -2.825 eV per formula unit
**Spin magnetization**: 0.0 μB/f.u.
**E**: -0.352 Ry per atom
**Excess energy over the best structure of this formula in the dataset**: 0 meV/atom
**DOS(E_F)**: 1.92 states/eV/cell

VASP calculation (PBE-GGA) on a relaxed TaNiPS2 crystal. Values from VASP.

Geometry as Quantum ESPRESSO input:
```
&SYSTEM
  ibrav = 0, nat = 5, ntyp = 4
/
ATOMIC_SPECIES
Ta 180.95 Ta.upf
Ni 58.69 Ni.upf
P 30.97 P.upf
S 32.06 S.upf
CELL_PARAMETERS angstrom
4.345 0.000 0.000
0.000 4.345 0.000
0.000 0.000 4.314
ATOMIC_POSITIONS crystal
Ta 0.000 0.000 0.000
Ni 0.500 0.500 0.500
P 0.500 0.500 0.000
S 0.000 0.500 0.500
S 0.500 0.000 0.500
```

Values from the calculation:
**ΔE_f (raw)**: 2.837 eV per formula unit
**Spin magnetization**: 0.0 μB/f.u.
**E**: -0.418 Ry per atom
**Excess energy over the best structure of this formula in the dataset**: 120 meV/atom
**DOS(E_F)**: 4.74 states/eV/cell